Computed, not measured: a PBEsol-optimized structure of Ba3NaBr at the meta-GGA SCAN level of DFT.

Cell and atoms, written as extended XYZ:
```
5
Lattice="6.354 0.000 0.000 0.000 6.354 0.000 0.000 0.000 6.354" Properties=species:S:1:pos:R:3 pbc="T T T"
Ba 0.000 0.000 3.177
Ba 0.000 3.177 0.000
Ba 3.177 0.000 0.000
Na 3.177 3.177 3.177
Br 0.000 0.000 0.000
```

Calculated total energy ... -29.047 eV per atom
Symmetry ... Pm-3m

Computed, not measured: a PBEsol-optimized structure of BaNaTcBr2 at the meta-GGA SCAN level of DFT.

Cell and atoms, written as extended XYZ:
```
5
Lattice="5.057 0.000 0.000 0.000 5.057 0.000 0.000 0.000 5.270" Properties=species:S:1:pos:R:3 pbc="T T T"
Ba 0.000 0.000 0.000
Na 2.529 2.529 0.000
Tc 2.529 2.529 2.635
Br 0.000 2.529 2.635
Br 2.529 0.000 2.635
```

Calculated total energy ... -23.664 eV per atom
Symmetry ... P4/mmm

Computed, not measured: a PBEsol-optimized structure of BaNaW2Br at the meta-GGA SCAN level of DFT.

Cell and atoms, written as extended XYZ:
```
5
Lattice="5.130 0.000 0.000 0.000 5.130 0.000 0.000 0.000 7.127" Properties=species:S:1:pos:R:3 pbc="T T T"
Ba 0.000 0.000 0.000
Na 0.000 0.000 3.564
W 0.000 2.565 0.000
W 2.565 0.000 0.000
Br 2.565 2.565 3.564
```

Calculated total energy ... -37.674 eV per atom
Symmetry ... P4/mmm

Computed, not measured: a PBEsol-optimized structure of Ba2NbBr2 at the meta-GGA SCAN level of DFT.

Cell and atoms, written as extended XYZ:
```
5
Lattice="-2.457 2.457 8.192 2.457 -2.457 8.192 2.457 2.457 -8.192" Properties=species:S:1:pos:R:3 pbc="T T T"
Ba 0.000 0.000 2.068
Ba 0.000 0.000 14.317
Nb 0.000 0.000 8.192
Br 2.457 0.000 4.096
Br 0.000 2.457 4.096
```

Calculated total energy ... -30.874 eV per atom
Symmetry ... I4/mmm

Computed, not measured: a PBEsol-optimized structure of Ba2NbPbBr at the meta-GGA SCAN level of DFT.

Cell and atoms, written as extended XYZ:
```
5
Lattice="6.181 0.000 0.000 0.000 6.181 0.000 0.000 0.000 4.852" Properties=species:S:1:pos:R:3 pbc="T T T"
Ba 0.000 3.091 0.000
Ba 3.091 0.000 0.000
Nb 0.000 0.000 0.000
Pb 3.091 3.091 2.426
Br 0.000 0.000 2.426
```

Calculated total energy ... -41.269 eV per atom
Symmetry ... P4/mmm

Computed, not measured: a PBEsol-optimized structure of BaSc2NbBr at the meta-GGA SCAN level of DFT.

Cell and atoms, written as extended XYZ:
```
5
Lattice="5.162 0.000 0.000 0.000 5.162 0.000 0.000 0.000 4.951" Properties=species:S:1:pos:R:3 pbc="T T T"
Ba 0.000 0.000 0.000
Sc 0.000 2.581 2.476
Sc 2.581 0.000 2.476
Nb 2.581 2.581 0.000
Br 2.581 2.581 2.476
```

Calculated total energy ... -23.720 eV per atom
Symmetry ... P4/mmm

Computed, not measured: a PBEsol-optimized structure of BaNbSe2Br at the meta-GGA SCAN level of DFT.

Cell and atoms, written as extended XYZ:
```
5
Lattice="5.866 0.000 0.000 0.000 5.866 0.000 0.000 0.000 5.806" Properties=species:S:1:pos:R:3 pbc="T T T"
Ba 0.000 0.000 0.000
Nb 2.933 2.933 2.903
Se 0.000 2.933 0.000
Se 2.933 0.000 0.000
Br 0.000 0.000 2.903
```

Calculated total energy ... -26.048 eV per atom
Symmetry ... P4/mmm

Computed, not measured: a PBEsol-optimized structure of BaNiBr at the meta-GGA SCAN level of DFT.

Cell and atoms, written as extended XYZ:
```
3
Lattice="-2.165 2.165 4.623 2.165 -2.165 4.623 2.165 2.165 -4.623" Properties=species:S:1:pos:R:3 pbc="T T T"
Ba 0.000 0.000 0.000
Ni 0.000 0.000 5.545
Br 0.000 0.000 3.233
```

Calculated total energy ... -25.506 eV per atom
Symmetry ... I4mm

Computed, not measured: a PBEsol-optimized structure of Ba2NiBr at the meta-GGA SCAN level of DFT.

Cell and atoms, written as extended XYZ:
```
4
Lattice="2.177 1.257 8.196 -2.177 1.257 8.196 0.000 -2.514 8.196" Properties=species:S:1:pos:R:3 pbc="T T T"
Ba 0.000 0.000 5.846
Ba 0.000 0.000 18.741
Ni 0.000 0.000 12.294
Br 0.000 0.000 0.000
```

Relative energy among the computed polymorphs ... 0.000 eV/f.u.
Calculated total energy ... -29.488 eV per atom
Symmetry ... R-3m

Computed, not measured: a PBEsol-optimized structure of Ba2NiBr at the meta-GGA SCAN level of DFT.

Cell and atoms, written as extended XYZ:
```
4
Lattice="5.525 0.000 0.000 0.000 5.525 0.000 0.000 0.000 3.780" Properties=species:S:1:pos:R:3 pbc="T T T"
Ba 0.000 2.762 0.000
Ba 2.762 0.000 0.000
Ni 0.000 0.000 1.890
Br 2.762 2.762 1.890
```

Relative energy among the computed polymorphs ... 0.834 eV/f.u.
Calculated total energy ... -29.280 eV per atom
Symmetry ... P4/mmm

Computed, not measured: a PBEsol-optimized structure of BaZrNi2Br at the meta-GGA SCAN level of DFT.

Cell and atoms, written as extended XYZ:
```
5
Lattice="4.807 0.000 0.000 0.000 4.807 0.000 0.000 0.000 5.696" Properties=species:S:1:pos:R:3 pbc="T T T"
Ba 0.000 0.000 0.000
Zr 2.403 2.403 2.848
Ni 0.000 2.403 0.000
Ni 2.403 0.000 0.000
Br 0.000 0.000 2.848
```

Calculated total energy ... -23.090 eV per atom
Symmetry ... P4/mmm

Computed, not measured: a PBEsol-optimized structure of BaBr2O6 at the meta-GGA SCAN level of DFT.

Cell and atoms, written as extended XYZ:
```
18
Lattice="6.121 -4.012 0.000 6.121 4.012 0.000 -5.364 0.000 6.521" Properties=species:S:1:pos:R:3 pbc="T T T"
Ba 2.098 2.837 4.891
Ba 4.780 -2.837 1.630
Br 2.104 0.080 2.084
Br -0.578 -0.080 5.345
Br 7.455 0.080 1.176
Br 4.773 -0.080 4.437
O -1.755 0.455 4.268
O 0.927 -0.455 1.007
O 1.126 0.757 3.282
O 0.038 1.313 6.031
O 3.808 -0.757 0.021
O 4.157 1.313 3.750
O 2.720 -1.313 2.771
O 3.069 0.757 6.500
O 6.839 -1.313 0.490
O 5.751 -0.757 3.239
O 5.951 0.455 5.514
O 8.633 -0.455 2.253
```

Calculated total energy ... -13.668 eV per atom
Symmetry ... C2/c

Computed, not measured: a PBEsol-optimized structure of Ba3P3BrO10 at the meta-GGA SCAN level of DFT.

Cell and atoms, written as extended XYZ:
```
68
Lattice="7.239 0.000 0.000 0.000 11.256 0.000 0.000 0.000 13.937" Properties=species:S:1:pos:R:3 pbc="T T T"
Ba 0.878 0.057 2.517
Ba 0.875 8.321 12.685
Ba 1.033 2.900 12.334
Ba 2.587 8.356 5.366
Ba 2.744 2.935 5.716
Ba 2.742 11.198 9.485
Ba 4.497 5.571 11.421
Ba 4.494 8.563 1.253
Ba 4.652 2.728 1.603
Ba 6.206 8.528 8.571
Ba 6.364 2.693 8.221
Ba 6.361 5.685 4.452
P 0.575 5.721 10.426
P 0.814 10.965 6.643
P 1.287 5.809 7.467
P 2.332 5.447 0.499
P 2.806 0.290 13.611
P 3.044 5.535 3.457
P 4.195 11.163 3.511
P 4.433 5.918 7.295
P 4.906 11.075 6.470
P 5.952 0.181 13.439
P 6.425 5.338 0.326
P 6.663 0.093 10.480
Br 0.252 8.185 2.725
Br 3.368 3.071 9.694
Br 3.871 8.699 11.212
Br 6.987 2.557 4.244
O 0.194 10.040 10.649
O 0.348 1.283 10.196
O 0.514 6.893 6.752
O 0.815 5.211 0.131
O 0.894 4.384 7.178
O 1.142 10.709 5.188
O 1.192 1.092 7.173
O 1.266 9.830 7.567
O 1.285 6.136 9.014
O 1.727 5.632 11.414
O 1.892 5.624 4.445
O 2.334 5.120 2.045
O 2.354 1.426 0.598
O 2.427 10.164 0.205
O 2.477 0.547 12.156
O 2.726 6.872 0.209
O 2.804 6.045 7.099
O 3.105 4.363 13.721
O 3.271 9.973 3.228
O 3.425 1.216 3.680
O 3.814 6.844 3.288
O 3.968 4.345 3.741
O 4.134 9.991 7.185
O 4.435 0.417 13.807
O 4.513 1.244 6.759
O 4.761 6.175 8.750
O 4.812 4.536 6.764
O 4.885 7.054 6.370
O 4.905 10.748 4.923
O 5.346 11.252 2.524
O 5.512 0.004 9.492
O 5.953 0.508 11.892
O 5.973 4.202 13.339
O 6.047 6.720 13.732
O 6.097 5.081 1.781
O 6.345 10.011 13.728
O 6.423 10.839 6.838
O 6.724 1.265 0.216
O 6.891 6.911 10.710
O 7.045 4.412 10.257
```

Calculated total energy ... -16.568 eV per atom
Symmetry ... P2_12_12_1

Computed, not measured: a PBEsol-optimized structure of Ba5Re3BrO15 at the meta-GGA SCAN level of DFT.

Cell and atoms, written as extended XYZ:
```
48
Lattice="10.962 0.000 0.000 -5.481 9.494 0.000 0.000 0.000 7.804" Properties=species:S:1:pos:R:3 pbc="T T T"
Ba -1.458 2.526 0.000
Ba -4.023 6.968 3.902
Ba 2.917 0.000 0.000
Ba 1.458 2.526 3.902
Ba 0.000 6.329 2.024
Ba 0.000 6.329 5.926
Ba 5.481 3.165 2.024
Ba 5.481 3.165 5.926
Ba 8.046 0.000 3.902
Ba 4.023 6.968 0.000
Re -2.145 3.715 4.326
Re -3.336 5.779 0.423
Re 4.289 0.000 4.326
Re 2.145 3.715 0.423
Re 6.673 0.000 0.423
Re 3.336 5.779 4.326
Br 0.000 0.000 1.802
Br 0.000 0.000 5.704
O -1.620 2.806 2.921
O -3.861 6.687 6.823
O -1.587 5.247 0.110
O -1.731 5.496 4.012
O -0.680 3.701 5.435
O -2.616 7.055 1.533
O 0.680 3.701 1.533
O -1.937 8.232 5.435
O 3.240 0.000 2.921
O 1.620 2.806 6.823
O 3.545 1.262 5.435
O 2.865 2.439 1.533
O 1.587 5.247 4.012
O -0.144 8.245 0.110
O 1.731 5.496 0.110
O 0.144 8.245 4.012
O 5.337 1.249 0.110
O 3.750 3.998 4.012
O 5.625 1.249 4.012
O 3.894 4.247 0.110
O 2.616 7.055 5.435
O 1.937 8.232 1.533
O 7.722 0.000 6.823
O 3.861 6.687 2.921
O 7.418 1.262 1.533
O 4.802 5.793 5.435
O 8.097 2.439 5.435
O 6.161 5.793 1.533
O 7.212 3.998 0.110
O 7.068 4.247 4.012
```

Calculated total energy ... -24.319 eV per atom
Symmetry ... P6_3cm

Computed, not measured: a PBEsol-optimized structure of Ba5SiBr6O4 at the meta-GGA SCAN level of DFT.

Cell and atoms, written as extended XYZ:
```
32
Lattice="4.862 -7.574 0.000 4.862 7.574 0.000 -3.105 0.000 11.607" Properties=species:S:1:pos:R:3 pbc="T T T"
Ba -0.413 1.152 7.371
Ba 2.534 4.421 8.705
Ba 1.140 -1.152 1.568
Ba 4.308 1.860 0.189
Ba 3.864 1.860 5.615
Ba 2.756 -1.860 5.992
Ba 2.311 -1.860 11.418
Ba 5.480 1.152 10.039
Ba 4.086 -4.421 2.902
Ba 7.033 -1.152 4.235
Si 2.534 1.147 8.705
Si 4.086 -1.147 2.902
Br 0.879 3.787 5.803
Br 0.623 5.304 11.043
Br 0.660 0.489 4.269
Br -0.892 -0.489 10.072
Br 4.086 3.895 2.902
Br 4.445 5.304 6.367
Br 2.431 -3.787 0.000
Br 2.175 -5.304 5.240
Br 2.534 -3.895 8.705
Br 7.512 0.489 1.535
Br 5.960 -0.489 7.338
Br 5.997 -5.304 0.564
O 1.268 2.139 9.112
O 2.148 0.302 7.346
O 3.700 -0.302 1.542
O 3.799 2.139 8.298
O 2.821 -2.139 3.309
O 2.920 0.302 10.064
O 4.472 -0.302 4.261
O 5.352 -2.139 2.495
```

Calculated total energy ... -24.665 eV per atom
Symmetry ... C2/c

Computed, not measured: a PBEsol-optimized structure of BaOs2Br at the meta-GGA SCAN level of DFT.

Cell and atoms, written as extended XYZ:
```
4
Lattice="2.347 -2.406 0.000 2.347 2.406 0.000 0.000 0.000 8.212" Properties=species:S:1:pos:R:3 pbc="T T T"
Ba 0.000 0.000 0.000
Os 0.000 0.000 3.391
Os 2.347 0.000 2.513
Br 2.347 0.000 6.103
```

Relative energy among the computed polymorphs ... 0.000 eV/f.u.
Calculated total energy ... -50.369 eV per atom
Symmetry ... Cmm2

Computed, not measured: a PBEsol-optimized structure of BaOsBr4 at the meta-GGA SCAN level of DFT.

Cell and atoms, written as extended XYZ:
```
6
Lattice="0.000 4.418 4.418 4.418 0.000 4.418 4.418 4.418 0.000" Properties=species:S:1:pos:R:3 pbc="T T T"
Ba 0.000 0.000 0.000
Os 6.626 6.626 6.626
Br 3.320 3.320 3.320
Br 5.515 5.515 3.320
Br 5.515 3.320 5.515
Br 3.320 5.515 5.515
```

Calculated total energy ... -31.009 eV per atom
Symmetry ... F-43m

Computed, not measured: a PBEsol-optimized structure of BaOsBr at the meta-GGA SCAN level of DFT.

Cell and atoms, written as extended XYZ:
```
3
Lattice="-1.672 1.672 6.267 1.672 -1.672 6.267 1.672 1.672 -6.267" Properties=species:S:1:pos:R:3 pbc="T T T"
Ba 0.000 0.000 0.000
Os 0.000 0.000 3.994
Br 0.000 0.000 8.815
```

Relative energy among the computed polymorphs ... 1.218 eV/f.u.
Calculated total energy ... -42.788 eV per atom
Symmetry ... I4mm

Computed, not measured: a PBEsol-optimized structure of BaOs3Br at the meta-GGA SCAN level of DFT.

Cell and atoms, written as extended XYZ:
```
5
Lattice="5.145 0.000 0.000 0.000 5.145 0.000 0.000 0.000 5.145" Properties=species:S:1:pos:R:3 pbc="T T T"
Ba 0.000 0.000 0.000
Os 0.000 0.000 2.573
Os 0.000 2.573 0.000
Os 2.573 0.000 0.000
Br 2.573 2.573 2.573
```

Calculated total energy ... -51.003 eV per atom
Symmetry ... Pm-3m

Computed, not measured: a PBEsol-optimized structure of BaOsBr at the meta-GGA SCAN level of DFT.

Cell and atoms, written as extended XYZ:
```
3
Lattice="4.324 0.000 0.000 -2.162 3.744 0.000 0.000 0.000 4.646" Properties=species:S:1:pos:R:3 pbc="T T T"
Ba 0.000 0.000 0.000
Os 2.162 1.248 2.323
Br 0.000 2.496 2.323
```

Relative energy among the computed polymorphs ... 0.000 eV/f.u.
Calculated total energy ... -43.194 eV per atom
Symmetry ... P-6m2

Sequential raw formation energy output: -2.908 -0.574 14.230 -3.219 1.126 2.011 2.058 -1.336 -3.221 -2.387 6.607 -7.156 -50.037 -59.679 -45.196 1.295 3.212 2.527 19.636 1.309 eV per formula unit
Sequential magnetic moment output: 2.0 1.6 5.0 5.1 0.0 0.0 2.0 1.0 0.1 0.0 2.8 0.0 0.0 0.0 0.0 0.0 6.0 1.6 6.9 0.0 μB/f.u.